[1]
# Te2MoHI PBE optimized geometry
data_Te2MoHI
_chemical_formula_sum 'Te2 Mo1 H1 I1'
_cell_length_a 4.3489
_cell_length_b 4.3489
_cell_length_c 7.2758
_cell_angle_alpha 90.00
_cell_angle_beta 90.00
_cell_angle_gamma 90.00
_symmetry_space_group_name_H-M 'P 4/m m m'
_symmetry_Int_Tables_number 123
_symmetry_space_group_name_Hall '-P 4 2'
loop_
_atom_site_label
_atom_site_type_symbol
_atom_site_fract_x
_atom_site_fract_y
_atom_site_fract_z
Te1 Te 0.0000 0.5000 0.0000
Mo1 Mo 0.0000 0.0000 0.5000
H1 H 0.5000 0.5000 0.0000
I1 I 0.5000 0.5000 0.5000
# - Electronic total energy: -3.519 eV per atom
# - E above lowest polymorph: 0.81 eV/f.u.

***

[2]
# PrLuPa4 PBE optimized geometry
data_PrLuPa4
_chemical_formula_sum 'Pr4 Lu4 Pa16'
_cell_length_a 8.7176
_cell_length_b 8.7176
_cell_length_c 8.7176
_cell_angle_alpha 90.00
_cell_angle_beta 90.00
_cell_angle_gamma 90.00
_symmetry_space_group_name_H-M 'F -4 3 m'
_symmetry_Int_Tables_number 216
_symmetry_space_group_name_Hall 'F -4 2 3'
loop_
_atom_site_label
_atom_site_type_symbol
_atom_site_fract_x
_atom_site_fract_y
_atom_site_fract_z
Pr1 Pr 0.0000 0.0000 0.0000
Lu1 Lu 0.2500 0.2500 0.7500
Pa1 Pa 0.1247 0.1247 0.3753
# - Electronic total energy: -7.636 eV per atom
# - Calculated formation energy: 245 meV per atom

***

[3]
# Pr3PtI PBE optimized geometry
data_Pr3PtI
_chemical_formula_sum 'Pr6 Pt2 I2'
_cell_length_a 3.9935
_cell_length_b 9.7790
_cell_length_c 8.7393
_cell_angle_alpha 90.00
_cell_angle_beta 90.00
_cell_angle_gamma 90.00
_symmetry_space_group_name_H-M 'P m m n'
_symmetry_Int_Tables_number 59
loop_
_symmetry_equiv_pos_as_xyz
'x,y,z'
'-x,-y,-z'
'-x+1/2,-y+1/2,z'
'x+1/2,y+1/2,-z'
'x+1/2,-y,-z'
'-x+1/2,y,z'
'-x,y+1/2,-z'
'x,-y+1/2,z'
loop_
_atom_site_label
_atom_site_type_symbol
_atom_site_fract_x
_atom_site_fract_y
_atom_site_fract_z
Pr1 Pr 0.2500 0.0718 0.1651
Pr2 Pr 0.2500 0.2500 0.7608
Pt1 Pt 0.2500 0.7500 0.0034
I1 I 0.2500 0.7500 0.5599
# - Formation energy (no corrections): -0.7292 eV/atom
# - Electronic total energy: -5.115 eV per atom

***

[4]
# LaScCo2 PBE optimized geometry
data_LaScCo2
_chemical_formula_sum 'La2 Sc2 Co4'
_cell_length_a 3.7932
_cell_length_b 3.7932
_cell_length_c 10.0948
_cell_angle_alpha 90.00
_cell_angle_beta 90.00
_cell_angle_gamma 90.00
_symmetry_space_group_name_H-M 'I -4 m 2'
_symmetry_Int_Tables_number 119
_symmetry_space_group_name_Hall 'I -4 -2'
loop_
_atom_site_label
_atom_site_type_symbol
_atom_site_fract_x
_atom_site_fract_y
_atom_site_fract_z
La1 La 0.0000 0.0000 0.0000
Sc1 Sc 0.0000 0.5000 0.7500
Co1 Co 0.0000 0.0000 0.5000
Co2 Co 0.0000 0.5000 0.2500
# - Electronic total energy: -6.245 eV per atom
# - E above lowest polymorph: 1.00 eV/f.u.
# - Calculated formation energy: 123 meV per atom

***

[5]
# CdFe PBE optimized geometry
data_CdFe
_chemical_formula_sum 'Cd4 Fe4'
_cell_length_a 5.2788
_cell_length_b 5.2788
_cell_length_c 5.3302
_cell_angle_alpha 90.00
_cell_angle_beta 90.00
_cell_angle_gamma 90.00
_symmetry_space_group_name_H-M 'P 42/m n m'
_symmetry_Int_Tables_number 136
_symmetry_space_group_name_Hall '-P 4n 2n'
loop_
_atom_site_label
_atom_site_type_symbol
_atom_site_fract_x
_atom_site_fract_y
_atom_site_fract_z
Cd1 Cd 0.1835 0.1835 0.0000
Fe1 Fe 0.1599 0.1599 0.5000
# - Electronic total energy: -3.964 eV per atom
# - Calculated formation energy: 725 meV per atom

***

[6]
# LaZr2Pd PBE optimized geometry
data_LaZr2Pd
_chemical_formula_sum 'La4 Zr8 Pd4'
_cell_length_a 6.9988
_cell_length_b 6.9988
_cell_length_c 6.9988
_cell_angle_alpha 90.00
_cell_angle_beta 90.00
_cell_angle_gamma 90.00
_symmetry_space_group_name_H-M 'F m -3 m'
_symmetry_Int_Tables_number 225
_symmetry_space_group_name_Hall '-F 4 2 3'
loop_
_atom_site_label
_atom_site_type_symbol
_atom_site_fract_x
_atom_site_fract_y
_atom_site_fract_z
La1 La 0.0000 0.0000 0.0000
Zr1 Zr 0.2500 0.2500 0.2500
Pd1 Pd 0.0000 0.0000 0.5000
# - Electronic total energy: -6.858 eV per atom
# - E above lowest polymorph: 0.00 eV/f.u.
# - Calculated formation energy: -54 meV per atom

***

[7]
# ReAuO2 PBE optimized geometry
data_ReAuO2
_chemical_formula_sum 'Re4 Au4 O8'
_cell_length_a 6.0144
_cell_length_b 6.0144
_cell_length_c 8.4946
_cell_angle_alpha 90.00
_cell_angle_beta 90.00
_cell_angle_gamma 90.00
_symmetry_space_group_name_H-M 'I -4 2 d'
_symmetry_Int_Tables_number 122
_symmetry_space_group_name_Hall 'I -4 2bw'
loop_
_atom_site_label
_atom_site_type_symbol
_atom_site_fract_x
_atom_site_fract_y
_atom_site_fract_z
Re1 Re 0.0000 0.0000 0.0000
Au1 Au 0.0000 0.0000 0.5000
O1 O 0.0007 0.2500 0.1250
# - Formation energy (no corrections): -0.2517 eV/atom
# - Electronic total energy: -6.662 eV per atom
# - E above lowest polymorph: 1.78 eV/f.u.

***

[8]
# K2Ge2Bi PBE optimized geometry
data_K2Ge2Bi
_chemical_formula_sum 'K4 Ge4 Bi2'
_cell_length_a 4.9084
_cell_length_b 4.9084
_cell_length_c 13.5537
_cell_angle_alpha 90.00
_cell_angle_beta 90.00
_cell_angle_gamma 90.00
_symmetry_space_group_name_H-M 'I 4/m m m'
_symmetry_Int_Tables_number 139
_symmetry_space_group_name_Hall '-I 4 2'
loop_
_atom_site_label
_atom_site_type_symbol
_atom_site_fract_x
_atom_site_fract_y
_atom_site_fract_z
K1 K 0.0000 0.5000 0.2500
Ge1 Ge 0.0000 0.0000 0.0838
Bi1 Bi 0.0000 0.0000 0.5000
# - Electronic total energy: -2.941 eV per atom
# - E above lowest polymorph: 1.19 eV/f.u.
# - Calculated formation energy: 121 meV per atom

***

[9]
# Ca2TlInCl8 PBE optimized geometry
data_Ca2TlInCl8
_chemical_formula_sum 'Ca2 Tl1 In1 Cl8'
_cell_length_a 6.3129
_cell_length_b 8.6777
_cell_length_c 6.5594
_cell_angle_alpha 90.00
_cell_angle_beta 90.77
_cell_angle_gamma 90.00
_symmetry_space_group_name_H-M 'P 1 2/m 1'
_symmetry_Int_Tables_number 10
_symmetry_space_group_name_Hall '-P 2y'
loop_
_atom_site_label
_atom_site_type_symbol
_atom_site_fract_x
_atom_site_fract_y
_atom_site_fract_z
Ca1 Ca 0.0000 0.2484 0.0000
Tl1 Tl 0.5000 0.5000 0.5000
In1 In 0.5000 0.0000 0.5000
Cl1 Cl 0.2228 0.5000 0.8761
Cl2 Cl 0.2416 0.0000 0.8224
Cl3 Cl 0.2687 0.2051 0.3379
# - Formation energy (no corrections): -1.6862 eV/atom
# - Electronic total energy: -3.676 eV per atom

***

[10]
# SrBeTl2S PBE optimized geometry
data_SrBeTl2S
_chemical_formula_sum 'Sr1 Be1 Tl2 S1'
_cell_length_a 4.6237
_cell_length_b 4.6237
_cell_length_c 6.4898
_cell_angle_alpha 90.00
_cell_angle_beta 90.00
_cell_angle_gamma 90.00
_symmetry_space_group_name_H-M 'P 4/m m m'
_symmetry_Int_Tables_number 123
_symmetry_space_group_name_Hall '-P 4 2'
loop_
_atom_site_label
_atom_site_type_symbol
_atom_site_fract_x
_atom_site_fract_y
_atom_site_fract_z
Sr1 Sr 0.0000 0.0000 0.0000
Be1 Be 0.0000 0.0000 0.5000
Tl1 Tl 0.0000 0.5000 0.5000
S1 S 0.5000 0.5000 0.0000
# - Formation energy (no corrections): -0.1805 eV/atom
# - Electronic total energy: -3.034 eV per atom

***

[11]
# Tb3Y4In PBE optimized geometry
data_Tb3Y4In
_chemical_formula_sum 'Tb6 Y8 In2'
_cell_length_a 11.2405
_cell_length_b 7.0666
_cell_length_c 6.1800
_cell_angle_alpha 90.00
_cell_angle_beta 90.00
_cell_angle_gamma 90.00
_symmetry_space_group_name_H-M 'P m n 21'
_symmetry_Int_Tables_number 31
_symmetry_space_group_name_Hall 'P 2ac -2'
loop_
_atom_site_label
_atom_site_type_symbol
_atom_site_fract_x
_atom_site_fract_y
_atom_site_fract_z
Tb1 Tb 0.0000 0.1277 0.0000
Tb2 Tb 0.2423 0.1135 0.3359
Y1 Y 0.0000 0.3695 0.5301
Y2 Y 0.0000 0.6316 0.0047
Y3 Y 0.2389 0.6265 0.3609
In1 In 0.0000 0.8733 0.5156
# - Electronic total energy: -5.425 eV per atom
# - Calculated formation energy: -114 meV per atom

***

[12]
# BeGe2Sb2 PBE optimized geometry
data_BeGe2Sb2
_chemical_formula_sum 'Be2 Ge4 Sb4'
_cell_length_a 7.1500
_cell_length_b 7.1500
_cell_length_c 4.4724
_cell_angle_alpha 90.00
_cell_angle_beta 90.00
_cell_angle_gamma 90.00
_symmetry_space_group_name_H-M 'P 4/m b m'
_symmetry_Int_Tables_number 127
_symmetry_space_group_name_Hall '-P 4 2ab'
loop_
_atom_site_label
_atom_site_type_symbol
_atom_site_fract_x
_atom_site_fract_y
_atom_site_fract_z
Be1 Be 0.0000 0.0000 0.0000
Ge1 Ge 0.1302 0.3698 0.5000
Sb1 Sb 0.1806 0.6806 0.0000
# - Formation energy (no corrections): 0.5110 eV/atom
# - Electronic total energy: -3.730 eV per atom

***

[13]
# AlZnW2 PBE optimized geometry
data_AlZnW2
_chemical_formula_sum 'Al1 Zn1 W2'
_cell_length_a 2.7435
_cell_length_b 4.4433
_cell_length_c 5.0794
_cell_angle_alpha 90.00
_cell_angle_beta 97.48
_cell_angle_gamma 90.00
_symmetry_space_group_name_H-M 'P 1 m 1'
_symmetry_Int_Tables_number 6
_symmetry_space_group_name_Hall 'P -2y'
loop_
_atom_site_label
_atom_site_type_symbol
_atom_site_fract_x
_atom_site_fract_y
_atom_site_fract_z
Al1 Al 0.0000 0.0000 0.0000
Zn1 Zn 0.0356 0.5000 0.7444
W1 W 0.4278 0.0000 0.5026
W2 W 0.6097 0.5000 0.2422
# - Electronic total energy: -7.668 eV per atom
# - E above lowest polymorph: 0.00 eV/f.u.
# - Calculated formation energy: 63 meV per atom

***

[14]
# Ac2LaSm2 PBE optimized geometry
data_Ac2LaSm2
_chemical_formula_sum 'Ac4 La2 Sm4'
_cell_length_a 8.8771
_cell_length_b 8.8771
_cell_length_c 5.0390
_cell_angle_alpha 90.00
_cell_angle_beta 90.00
_cell_angle_gamma 90.00
_symmetry_space_group_name_H-M 'P 4/m b m'
_symmetry_Int_Tables_number 127
_symmetry_space_group_name_Hall '-P 4 2ab'
loop_
_atom_site_label
_atom_site_type_symbol
_atom_site_fract_x
_atom_site_fract_y
_atom_site_fract_z
Ac1 Ac 0.1632 0.3368 0.0000
La1 La 0.0000 0.0000 0.5000
Sm1 Sm 0.1371 0.6371 0.5000
# - Electronic total energy: -4.330 eV per atom
# - E above lowest polymorph: 0.55 eV/f.u.
# - Calculated formation energy: 186 meV per atom

***

[15]
# PmYCu PBE optimized geometry
data_PmYCu
_chemical_formula_sum 'Pm2 Y2 Cu2'
_cell_length_a 3.5285
_cell_length_b 3.5285
_cell_length_c 12.5701
_cell_angle_alpha 90.00
_cell_angle_beta 90.00
_cell_angle_gamma 90.00
_symmetry_space_group_name_H-M 'I 4 m m'
_symmetry_Int_Tables_number 107
_symmetry_space_group_name_Hall 'I 4 -2'
loop_
_atom_site_label
_atom_site_type_symbol
_atom_site_fract_x
_atom_site_fract_y
_atom_site_fract_z
Pm1 Pm 0.0000 0.0000 0.0000
Y1 Y 0.0000 0.0000 0.7232
Cu1 Cu 0.0000 0.0000 0.3526
# - Electronic total energy: -5.212 eV per atom
# - E above lowest polymorph: 0.00 eV/f.u.
# - Calculated formation energy: -108 meV per atom